[1]
! NdSmY2 | Alexandria via LeMat-Bulk | GGA-PBE | optimized geometry; values from VASP
! * VASP energy: -44.49 eV per cell
! * energy of formation from the pure elements: 0.04 eV/atom
! * mass density: 5.842 Mg/m³
! * crystal system: triclinic
! * M_tot: 0.00 Bohr magnetons per cell
&SYSTEM
  ibrav = 0, nat = 8, ntyp = 3
/
ATOMIC_SPECIES
Nd 144.24 Nd.upf
Sm 150.36 Sm.upf
Y 88.91 Y.upf
CELL_PARAMETERS angstrom
3.573 0.000 0.000
0.000 5.539 0.000
0.008 0.004 13.572
ATOMIC_POSITIONS angstrom
Nd 0.891 1.383 4.060
Nd 2.689 4.160 9.512
Sm 0.903 1.390 11.034
Sm 2.678 4.153 2.537
Y 0.899 1.388 7.646
Y 0.901 4.159 12.969
Y 2.680 1.384 0.603
Y 2.681 4.155 5.925

=====

[2]
! RbIn3Bi2 | Alexandria via LeMat-Bulk | GGA-PBE | optimized geometry; values from VASP
! * VASP energy: -17.13 eV per cell
! * energy of formation from the pure elements: -0.03 eV/atom
! * mass density: 6.577 Mg/m³
! * crystal system: hexagonal
! * M_tot: 0.00 Bohr magnetons per cell
&SYSTEM
  ibrav = 0, nat = 6, ntyp = 3
/
ATOMIC_SPECIES
Rb 85.47 Rb.upf
In 114.82 In.upf
Bi 208.98 Bi.upf
CELL_PARAMETERS angstrom
7.008 0.000 0.000
-3.504 6.069 0.000
0.000 0.000 5.033
ATOMIC_POSITIONS angstrom
Rb 0.000 0.000 0.000
In -1.752 3.035 2.516
In 3.504 0.000 2.516
In 1.752 3.035 2.516
Bi 0.000 4.046 0.000
Bi 3.504 2.023 0.000

=====

[3]
! Mn2Se2S | Alexandria via LeMat-Bulk | GGA-PBE | optimized geometry; values from VASP
! * VASP energy: -31.73 eV per cell
! * mass density: 4.854 Mg/m³
! * formation energy without anion corrections: -0.46 eV/atom
! * crystal system: trigonal
! * M_tot: 7.73 Bohr magnetons per cell
&SYSTEM
  ibrav = 0, nat = 5, ntyp = 3
/
ATOMIC_SPECIES
Mn 54.94 Mn.upf
Se 78.96 Se.upf
S 32.06 S.upf
CELL_PARAMETERS angstrom
1.774 1.024 9.413
-1.774 1.024 9.413
0.000 -2.048 9.413
ATOMIC_POSITIONS angstrom
Mn 0.000 0.000 3.173
Mn 0.000 0.000 25.065
Se 0.000 0.000 7.656
Se 0.000 0.000 20.581
S 0.000 0.000 14.119

=====

[4]
! BeCoTe2 | Alexandria via LeMat-Bulk | GGA-PBE | optimized geometry; values from VASP
! * VASP energy: -14.90 eV per cell
! * mass density: 5.396 Mg/m³
! * formation energy without anion corrections: 0.55 eV/atom
! * crystal system: orthorhombic
! * M_tot: 1.86 Bohr magnetons per cell
&SYSTEM
  ibrav = 0, nat = 4, ntyp = 3
/
ATOMIC_SPECIES
Be 9.01 Be.upf
Co 58.93 Co.upf
Te 127.60 Te.upf
CELL_PARAMETERS angstrom
3.574 0.000 0.000
0.000 3.656 0.000
0.000 0.000 7.610
ATOMIC_POSITIONS angstrom
Be 0.000 0.000 0.000
Co 0.000 1.828 3.805
Te 1.787 0.000 3.805
Te 1.787 1.828 0.000

=====

[5]
! Si4SnO10 | Alexandria via LeMat-Bulk | GGA-PBE | optimized geometry; values from VASP
! * VASP energy: -443.95 eV per cell
! * mass density: 2.764 Mg/m³
! * formation energy without anion corrections: -2.38 eV/atom
! * crystal system: tetragonal
! * M_tot: 0.00 Bohr magnetons per cell
&SYSTEM
  ibrav = 0, nat = 60, ntyp = 3
/
ATOMIC_SPECIES
Si 28.09 Si.upf
Sn 118.71 Sn.upf
O 16.00 O.upf
CELL_PARAMETERS angstrom
7.586 0.000 0.000
0.000 7.586 0.000
0.000 0.000 16.327
ATOMIC_POSITIONS angstrom
Si 0.114 0.560 2.522
Si 0.114 3.233 10.686
Si 0.560 0.114 10.686
Si 0.560 3.679 2.522
Si 3.233 0.114 2.522
Si 3.233 3.679 10.686
Si 3.679 0.560 10.686
Si 3.679 3.233 2.522
Si 3.907 4.353 13.804
Si 3.907 7.026 5.641
Si 4.353 3.907 5.641
Si 4.353 7.472 13.804
Si 7.026 3.907 13.804
Si 7.026 7.472 5.641
Si 7.472 4.353 5.641
Si 7.472 7.026 13.804
Sn 1.897 1.897 6.565
Sn 1.897 1.897 14.729
Sn 5.690 5.690 1.598
Sn 5.690 5.690 9.761
O 0.045 1.633 10.397
O 0.045 2.160 2.234
O 0.153 0.970 6.618
O 0.153 2.824 14.781
O 0.255 4.048 4.082
O 0.255 7.332 12.245
O 0.970 0.153 14.781
O 0.970 3.640 6.618
O 1.633 0.045 2.234
O 1.633 3.748 10.397
O 2.160 0.045 10.397
O 2.160 3.748 2.234
O 2.824 0.153 6.618
O 2.824 3.640 14.781
O 3.539 4.048 12.245
O 3.539 7.332 4.082
O 3.640 0.970 14.781
O 3.640 2.824 6.618
O 3.748 1.633 2.234
O 3.748 2.160 10.397
O 3.838 5.426 5.930
O 3.838 5.953 14.093
O 3.947 4.763 9.709
O 3.947 6.617 1.546
O 4.048 0.255 12.245
O 4.048 3.539 4.082
O 4.763 3.947 1.546
O 4.763 7.433 9.709
O 5.426 3.838 14.093
O 5.426 7.542 5.930
O 5.953 3.838 5.930
O 5.953 7.542 14.093
O 6.617 3.947 9.709
O 6.617 7.433 1.546
O 7.332 0.255 4.082
O 7.332 3.539 12.245
O 7.433 4.763 1.546
O 7.433 6.617 9.709
O 7.542 5.426 14.093
O 7.542 5.953 5.930

=====

[6]
! Cs2BeI | Alexandria via LeMat-Bulk | GGA-PBE | optimized geometry; values from VASP
! * VASP energy: -6.99 eV per cell
! * mass density: 3.360 Mg/m³
! * formation energy without anion corrections: 0.00 eV/atom
! * crystal system: cubic
! * M_tot: 0.99 Bohr magnetons per cell
&SYSTEM
  ibrav = 0, nat = 4, ntyp = 3
/
ATOMIC_SPECIES
Cs 132.91 Cs.upf
Be 9.01 Be.upf
I 126.90 I.upf
CELL_PARAMETERS angstrom
0.000 4.630 4.630
4.630 0.000 4.630
4.630 4.630 0.000
ATOMIC_POSITIONS angstrom
Cs 2.315 2.315 2.315
Cs 6.945 6.945 6.945
Be 0.000 0.000 0.000
I 4.630 4.630 4.630

=====

[7]
! NbPdS | Alexandria via LeMat-Bulk | GGA-PBE | optimized geometry; values from VASP
! * VASP energy: -42.06 eV per cell
! * mass density: 7.843 Mg/m³
! * formation energy without anion corrections: -0.55 eV/atom
! * crystal system: monoclinic
! * M_tot: 0.00 Bohr magnetons per cell
&SYSTEM
  ibrav = 0, nat = 6, ntyp = 3
/
ATOMIC_SPECIES
Nb 92.91 Nb.upf
Pd 106.42 Pd.upf
S 32.06 S.upf
CELL_PARAMETERS angstrom
4.771 0.000 0.000
0.000 3.179 0.000
-1.606 0.000 6.460
ATOMIC_POSITIONS angstrom
Nb 0.341 0.795 2.532
Nb 2.824 2.385 3.928
Pd 1.107 2.385 0.188
Pd 2.058 0.795 6.271
S 0.453 2.385 4.464
S 2.712 0.795 1.996

=====

[8]
! Rb3AgW2Se8 | Alexandria via LeMat-Bulk | GGA-PBE | optimized geometry; values from VASP
! * VASP energy: -68.31 eV per cell
! * mass density: 4.668 Mg/m³
! * formation energy without anion corrections: -0.63 eV/atom
! * crystal system: trigonal
! * M_tot: 0.00 Bohr magnetons per cell
&SYSTEM
  ibrav = 0, nat = 14, ntyp = 4
/
ATOMIC_SPECIES
Rb 85.47 Rb.upf
Ag 107.87 Ag.upf
W 183.84 W.upf
Se 78.96 Se.upf
CELL_PARAMETERS angstrom
7.497 0.000 0.000
-3.749 6.493 0.000
0.000 0.000 9.964
ATOMIC_POSITIONS angstrom
Rb 0.000 0.000 0.000
Rb 0.000 4.329 6.389
Rb 3.749 2.164 3.575
Ag 0.000 0.000 4.982
W 0.000 4.329 2.296
W 3.749 2.164 7.668
Se 0.000 2.108 3.065
Se -1.923 5.439 3.065
Se 1.825 1.054 6.900
Se 0.000 4.329 9.954
Se 3.749 2.164 0.010
Se 1.923 5.439 3.065
Se 5.672 1.054 6.900
Se 3.749 4.385 6.900

=====

[9]
! NaTl2Pb2 | Alexandria via LeMat-Bulk | GGA-PBE | optimized geometry; values from VASP
! * VASP energy: -13.38 eV per cell
! * energy of formation from the pure elements: 0.02 eV/atom
! * mass density: 8.171 Mg/m³
! * crystal system: tetragonal
! * M_tot: 0.00 Bohr magnetons per cell
&SYSTEM
  ibrav = 0, nat = 5, ntyp = 3
/
ATOMIC_SPECIES
Na 22.99 Na.upf
Tl 204.38 Tl.upf
Pb 207.20 Pb.upf
CELL_PARAMETERS angstrom
-2.336 2.336 7.882
2.336 -2.336 7.882
2.336 2.336 -7.882
ATOMIC_POSITIONS angstrom
Na 0.000 0.000 0.000
Tl 0.000 0.000 6.286
Tl 0.000 0.000 9.477
Pb 2.336 0.000 3.941
Pb 0.000 2.336 3.941

=====

[10]
! LaSnHPt | Alexandria via LeMat-Bulk | GGA-PBE | optimized geometry; values from VASP
! * VASP energy: -21.71 eV per cell
! * mass density: 9.973 Mg/m³
! * crystal system: hexagonal
! * M_tot: 0.00 Bohr magnetons per cell
&SYSTEM
  ibrav = 0, nat = 4, ntyp = 4
/
ATOMIC_SPECIES
La 138.91 La.upf
Sn 118.71 Sn.upf
H 1.01 H.upf
Pt 195.08 Pt.upf
CELL_PARAMETERS angstrom
4.790 0.000 0.000
-2.395 4.148 0.000
0.000 0.000 3.802
ATOMIC_POSITIONS angstrom
La 0.000 0.000 0.000
Sn 0.000 2.765 1.901
H 2.395 1.383 0.000
Pt 2.395 1.383 1.901

=====

[11]
! FeReBi2 | Alexandria via LeMat-Bulk | GGA-PBE | optimized geometry; values from VASP
! * VASP energy: -46.30 eV per cell
! * energy of formation from the pure elements: 1.38 eV/atom
! * mass density: 9.139 Mg/m³
! * crystal system: tetragonal
! * M_tot: 3.79 Bohr magnetons per cell
&SYSTEM
  ibrav = 0, nat = 8, ntyp = 3
/
ATOMIC_SPECIES
Fe 55.84 Fe.upf
Re 186.21 Re.upf
Bi 208.98 Bi.upf
CELL_PARAMETERS angstrom
-3.130 3.130 6.121
3.130 -3.130 6.121
3.130 3.130 -6.121
ATOMIC_POSITIONS angstrom
Fe 0.000 0.000 0.000
Fe 0.000 3.130 3.060
Re 3.130 0.000 3.060
Re 0.000 0.000 6.121
Bi 1.565 -1.558 4.591
Bi 1.572 1.565 1.530
Bi 1.565 4.688 -1.530
Bi 1.558 1.565 7.651

=====

- Number 6 is which compound?
  Cs2BeI